(1)
{
  "formula": "Zn2FeTe",
  "functional": "PBE",
  "state": "relaxed",
  "cell": [[3.488, 0.000, 0.000], [0.000, 3.488, 0.000], [0.000, 0.000, 5.614]],
  "species": ["Zn", "Zn", "Fe", "Te"],
  "fractional_positions": [[0.000, 0.000, 0.000], [0.500, 0.500, 0.201], [0.000, 0.000, 0.454], [0.500, 0.500, 0.679]],
  "raw_formation_energy_ev_per_fu": 0.9
}

(2)
{
  "formula": "TbLuAlPb",
  "functional": "PBE",
  "state": "relaxed",
  "cell": [[7.441, 0.000, 0.000], [0.000, 7.441, 0.000], [0.000, 0.000, 7.441]],
  "species": ["Tb", "Tb", "Tb", "Tb", "Lu", "Lu", "Lu", "Lu", "Al", "Al", "Al", "Al", "Pb", "Pb", "Pb", "Pb"],
  "fractional_positions": [[0.000, 0.000, 0.000], [0.000, 0.500, 0.500], [0.500, 0.000, 0.500], [0.500, 0.500, 0.000], [0.000, 0.000, 0.500], [0.000, 0.500, 0.000], [0.500, 0.000, 0.000], [0.500, 0.500, 0.500], [0.250, 0.250, 0.250], [0.250, 0.750, 0.750], [0.750, 0.250, 0.750], [0.750, 0.750, 0.250], [0.250, 0.250, 0.750], [0.250, 0.750, 0.250], [0.750, 0.250, 0.250], [0.750, 0.750, 0.750]],
  "ef_mev_per_atom": -295
}

(3)
{
  "formula": "PmHoZnNi",
  "functional": "PBE",
  "state": "relaxed",
  "cell": [[4.428, 0.000, 0.000], [0.000, 3.857, 0.000], [0.000, 0.000, 10.527]],
  "species": ["Pm", "Pm", "Ho", "Ho", "Zn", "Zn", "Ni", "Ni"],
  "fractional_positions": [[0.000, 0.000, 0.000], [0.000, 0.500, 0.500], [0.500, 0.000, 0.717], [0.500, 0.500, 0.217], [0.500, 0.000, 0.424], [0.500, 0.500, 0.924], [0.000, 0.000, 0.291], [0.000, 0.500, 0.791]],
  "e_above_lowest_polymorph_ev_per_atom": 0.000,
  "ef_mev_per_atom": -325
}

(4)
{
  "formula": "RbSb3O",
  "functional": "PBE",
  "state": "relaxed",
  "cell": [[5.029, 0.000, 0.000], [0.000, 5.029, 0.000], [0.000, 0.000, 5.029]],
  "species": ["Rb", "Sb", "Sb", "Sb", "O"],
  "fractional_positions": [[0.000, 0.000, 0.000], [0.000, 0.500, 0.500], [0.500, 0.000, 0.500], [0.500, 0.500, 0.000], [0.500, 0.500, 0.500]],
  "e_above_lowest_polymorph_ev_per_atom": 0.000,
  "raw_formation_energy_ev_per_fu": -0.3
}

(5)
{
  "formula": "Sc2InPt",
  "functional": "PBE",
  "state": "relaxed",
  "cell": [[7.670, 0.000, 0.000], [0.000, 7.670, 0.000], [0.000, 0.000, 6.190]],
  "species": ["Sc", "Sc", "Sc", "Sc", "Sc", "Sc", "Sc", "Sc", "In", "In", "In", "In", "Pt", "Pt", "Pt", "Pt"],
  "fractional_positions": [[0.203, 0.250, 0.125], [0.250, 0.703, 0.375], [0.250, 0.797, 0.875], [0.297, 0.250, 0.625], [0.703, 0.750, 0.625], [0.750, 0.203, 0.875], [0.750, 0.297, 0.375], [0.797, 0.750, 0.125], [0.000, 0.000, 0.500], [0.000, 0.500, 0.750], [0.500, 0.000, 0.250], [0.500, 0.500, 0.000], [0.000, 0.000, 0.000], [0.000, 0.500, 0.250], [0.500, 0.000, 0.750], [0.500, 0.500, 0.500]],
  "ef_mev_per_atom": -456
}

(6)
{
  "formula": "Cu2N2O",
  "functional": "PBE",
  "state": "relaxed",
  "cell": [[5.260, 0.000, 0.000], [0.000, 5.260, 0.000], [0.000, 0.000, 6.858]],
  "species": ["Cu", "Cu", "Cu", "Cu", "N", "N", "N", "N", "O", "O"],
  "fractional_positions": [[0.249, 0.251, 0.000], [0.251, 0.751, 0.000], [0.749, 0.249, 0.000], [0.751, 0.749, 0.000], [0.075, 0.425, 0.500], [0.425, 0.925, 0.500], [0.575, 0.075, 0.500], [0.925, 0.575, 0.500], [0.000, 0.000, 0.000], [0.500, 0.500, 0.000]],
  "raw_formation_energy_ev_per_fu": -0.5
}

(7)
{
  "formula": "Mn2AlAu",
  "functional": "PBE",
  "state": "relaxed",
  "cell": [[5.433, 0.000, 0.000], [0.000, 7.660, 0.000], [0.000, 0.000, 2.892]],
  "species": ["Mn", "Mn", "Mn", "Mn", "Al", "Al", "Au", "Au"],
  "fractional_positions": [[0.250, 0.250, 0.000], [0.250, 0.750, 0.000], [0.750, 0.250, 0.000], [0.750, 0.750, 0.000], [0.000, 0.000, 0.500], [0.500, 0.500, 0.500], [0.000, 0.500, 0.500], [0.500, 0.000, 0.500]],
  "e_above_lowest_polymorph_ev_per_atom": 0.055,
  "ef_mev_per_atom": -71
}

(8)
{
  "formula": "Ti2ZnSBr",
  "functional": "PBE",
  "state": "relaxed",
  "cell": [[4.653, 0.000, 0.000], [0.000, 4.653, 0.000], [0.000, 0.000, 4.685]],
  "species": ["Ti", "Ti", "Zn", "S", "Br"],
  "fractional_positions": [[0.000, 0.500, 0.000], [0.500, 0.000, 0.000], [0.000, 0.000, 0.500], [0.000, 0.000, 0.000], [0.500, 0.500, 0.500]],
  "raw_formation_energy_ev_per_fu": 0.4
}